A geometry-optimized ZnTcAg2 structure. Source: the Alexandria database, functional PBE.

The value obtained for the formation energy is 37.25 kJ/mol of atoms. As for the crystal system: orthorhombic.

Cell lengths 5.5976, 5.5976, 5.5976 Å; angles 151.75, 127.92, 60.30 degrees
Closest atoms and distances in Å follow each position.
Element x y z (fractional)
Ag  0.7494  0.2494  0.5000  4 Ag 2.73-2.89, 4 Zn 2.81, 2 Tc 2.89
Zn  0.2522  0.7522  0.5000  2 Tc 2.64, 6 Ag 2.69-2.81, 2 Zn 2.73
Tc  0.4859  0.4859  0.0000  2 Zn 2.64, 2 Tc 2.73, 6 Ag 2.82-2.89
Ag  0.0125  0.0125  0.0000  2 Zn 2.69, 4 Ag 2.73-2.89, 4 Tc 2.82

=====

A geometry-optimized Zn2Tc2Ag structure. Source: the Alexandria database, functional PBE.

The value obtained for the formation energy is 39.06 kJ/mol of atoms. As for the crystal system: tetragonal. Its offset from the most stable computed form is 67 meV per atom.

Cell lengths 3.5303, 3.5303, 7.1249 Å; angles 75.66, 75.66, 90.00 degrees
Closest atoms and distances in Å follow each position.
Element x y z (fractional)
Tc  0.7500  0.2500  0.5000  4 Tc 2.50, 4 Zn 2.71
Zn  0.4044  0.4044  0.1912  1 Zn 2.55, 4 Tc 2.71, 4 Ag 2.80
Ag  0.0000  0.0000  0.0000  8 Zn 2.80
Tc  0.2500  0.7500  0.5000  4 Tc 2.50, 4 Zn 2.71
Zn  0.5956  0.5956  0.8088  1 Zn 2.55, 4 Tc 2.71, 4 Ag 2.80

=====

A geometry-optimized ZnTcAg2 structure. Source: the Alexandria database, functional PBE.

The value obtained for the formation energy is 29.12 kJ/mol of atoms. As for the crystal system: tetragonal.

Cell lengths 2.7019, 2.7019, 8.7167 Å; angles 90.00, 90.00, 90.00 degrees
Closest atoms and distances in Å follow each position.
Element x y z (fractional)
Ag  0.0000  0.0000  0.5077  4 Ag 2.70, 4 Zn 2.85, 4 Tc 2.95
Tc  0.5000  0.5000  0.2500  4 Tc 2.70, 8 Ag 2.95
Zn  0.5000  0.5000  0.7500  4 Zn 2.70, 8 Ag 2.85
Ag  0.0000  0.0000  0.9923  4 Ag 2.70, 4 Zn 2.85, 4 Tc 2.95

=====

A geometry-optimized ZnTc2Ag structure. Source: the Alexandria database, functional PBE.

The value obtained for the formation energy is 36.67 kJ/mol of atoms. As for the crystal system: cubic.

Cell lengths 4.4142, 4.4142, 4.4142 Å; angles 60.00, 60.00, 60.00 degrees
Closest atoms and distances in Å follow each position.
Element x y z (fractional)
Zn  0.7500  0.7500  0.7500  4 Tc 2.70, 4 Ag 2.70
Tc  0.2500  0.2500  0.2500  4 Tc 2.70, 4 Ag 2.70
Tc  0.0000  0.0000  0.0000  4 Zn 2.70, 4 Tc 2.70
Ag  0.5000  0.5000  0.5000  4 Tc 2.70, 4 Zn 2.70

=====

Repeat the third record exactly.
A geometry-optimized ZnTcAg2 structure. Source: the Alexandria database, functional PBE.

The value obtained for the formation energy is 29.12 kJ/mol of atoms. As for the crystal system: tetragonal.

Cell lengths 2.7019, 2.7019, 8.7167 Å; angles 90.00, 90.00, 90.00 degrees
Closest atoms and distances in Å follow each position.
Element x y z (fractional)
Ag  0.0000  0.0000  0.5077  4 Ag 2.70, 4 Zn 2.85, 4 Tc 2.95
Tc  0.5000  0.5000  0.2500  4 Tc 2.70, 8 Ag 2.95
Zn  0.5000  0.5000  0.7500  4 Zn 2.70, 8 Ag 2.85
Ag  0.0000  0.0000  0.9923  4 Ag 2.70, 4 Zn 2.85, 4 Tc 2.95